Record 1
Computed, not measured: a relaxed structure of Cs2NaAu2Cl6 at the PBE level of DFT.

Electronic total energy   -32.695 eV per formula unit
ΔE_f (raw)   -1161 kJ/mol of formula units

Cell and atoms, written as CIF:
```
data_Cs2NaAu2Cl6
_cell_length_a 14.098
_cell_length_b 7.243
_cell_length_c 8.331
_cell_angle_alpha 90.00
_cell_angle_beta 119.77
_cell_angle_gamma 90.00
_space_group_name_H-M_alt 'C 1 2/m 1'
_space_group_IT_number 12
_space_group_name_Hall '-C 2y'
loop_
_atom_site_label
_atom_site_type_symbol
_atom_site_fract_x
_atom_site_fract_y
_atom_site_fract_z
Cs1 Cs 0.219 0.000 0.202
Na1 Na 0.000 0.000 0.500
Au1 Au 0.072 0.500 0.253
Cl1 Cl 0.056 0.251 0.790
Cl2 Cl 0.241 0.000 0.660
```

Record 2
Computed, not measured: a relaxed structure of Zr2ScO at the PBE level of DFT.

Electronic total energy   -32.145 eV per formula unit
ΔE_f (raw)   -363 kJ/mol of formula units

Cell and atoms, written as CIF:
```
data_Zr2ScO
_cell_length_a 3.2498
_cell_length_b 3.2498
_cell_length_c 25.0247
_cell_angle_alpha 90.00
_cell_angle_beta 90.00
_cell_angle_gamma 120.00
_space_group_name_H-M_alt 'R -3 m'
_space_group_IT_number 166
_space_group_name_Hall '-R 3 2"'
loop_
_atom_site_label
_atom_site_type_symbol
_atom_site_fract_x
_atom_site_fract_y
_atom_site_fract_z
Zr1 Zr 0.0000 0.0000 0.1145
Sc1 Sc 0.0000 0.0000 0.0000
O1 O 0.0000 0.0000 0.5000
```

Record 3
Computed, not measured: a relaxed structure of ZrFeAu2 at the PBE level of DFT.

Electronic total energy   -23.271 eV per formula unit
Energy relative to the elements   0.29 eV per formula unit

Cell and atoms, written as CIF:
```
data_ZrFeAu2
_cell_length_a 3.0671
_cell_length_b 3.0671
_cell_length_c 26.8615
_cell_angle_alpha 90.00
_cell_angle_beta 90.00
_cell_angle_gamma 120.00
_space_group_name_H-M_alt 'R 3 m'
_space_group_IT_number 160
_space_group_name_Hall 'R 3 -2"'
loop_
_atom_site_label
_atom_site_type_symbol
_atom_site_fract_x
_atom_site_fract_y
_atom_site_fract_z
Zr1 Zr 0.0000 0.0000 0.0000
Fe1 Fe 0.0000 0.0000 0.2516
Au1 Au 0.0000 0.0000 0.5097
Au2 Au 0.0000 0.0000 0.7542
```

Record 4
Computed, not measured: a relaxed structure of CaLaPr4 at the PBE level of DFT.

Electronic total energy   -25.851 eV per formula unit
Energy relative to the elements   0.20 eV per formula unit

Cell and atoms, written as CIF:
```
data_CaLaPr4
_cell_length_a 3.722
_cell_length_b 6.500
_cell_length_c 9.890
_cell_angle_alpha 77.18
_cell_angle_beta 79.25
_cell_angle_gamma 73.55
_space_group_name_H-M_alt 'P -1'
_space_group_IT_number 2
_space_group_name_Hall '-P 1'
loop_
_atom_site_label
_atom_site_type_symbol
_atom_site_fract_x
_atom_site_fract_y
_atom_site_fract_z
Ca1 Ca 0.000 0.000 0.000
La1 La 0.000 0.500 0.500
Pr1 Pr 0.332 0.997 0.338
Pr2 Pr 0.333 0.508 0.828
```

Record 5
Computed, not measured: a relaxed structure of CaScCo at the PBE level of DFT.

Electronic total energy   -15.485 eV per formula unit
Energy relative to the elements   -0.05 eV per formula unit

Cell and atoms, written as CIF:
```
data_CaScCo
_cell_length_a 3.234
_cell_length_b 3.234
_cell_length_c 12.526
_cell_angle_alpha 90.00
_cell_angle_beta 90.00
_cell_angle_gamma 90.00
_space_group_name_H-M_alt 'I 4 m m'
_space_group_IT_number 107
_space_group_name_Hall 'I 4 -2'
loop_
_atom_site_label
_atom_site_type_symbol
_atom_site_fract_x
_atom_site_fract_y
_atom_site_fract_z
Ca1 Ca 0.000 0.000 0.000
Sc1 Sc 0.000 0.000 0.257
Co1 Co 0.000 0.000 0.655
```

Record 6
Computed, not measured: a relaxed structure of Ca2TaNbTe at the PBE level of DFT.

Electronic total energy   -21.985 eV per formula unit
ΔE_f (raw)   683 kJ/mol of formula units

Cell and atoms, written as CIF:
```
data_Ca2TaNbTe
_cell_length_a 5.497
_cell_length_b 5.497
_cell_length_c 5.161
_cell_angle_alpha 90.00
_cell_angle_beta 90.00
_cell_angle_gamma 90.00
_space_group_name_H-M_alt 'P 4/m m m'
_space_group_IT_number 123
_space_group_name_Hall '-P 4 2'
loop_
_atom_site_label
_atom_site_type_symbol
_atom_site_fract_x
_atom_site_fract_y
_atom_site_fract_z
Ca1 Ca 0.000 0.500 0.000
Ta1 Ta 0.000 0.000 0.500
Nb1 Nb 0.500 0.500 0.000
Te1 Te 0.500 0.500 0.500
```

Record 7
Computed, not measured: a relaxed structure of BaLiTc3 at the PBE level of DFT.

Electronic total energy   -21.256 eV per formula unit
Energy relative to the elements   13.68 eV per formula unit

Cell and atoms, written as CIF:
```
data_BaLiTc3
_cell_length_a 5.131
_cell_length_b 5.131
_cell_length_c 5.131
_cell_angle_alpha 90.00
_cell_angle_beta 90.00
_cell_angle_gamma 90.00
_space_group_name_H-M_alt 'P m -3 m'
_space_group_IT_number 221
_space_group_name_Hall '-P 4 2 3'
loop_
_atom_site_label
_atom_site_type_symbol
_atom_site_fract_x
_atom_site_fract_y
_atom_site_fract_z
Ba1 Ba 0.000 0.000 0.000
Li1 Li 0.500 0.500 0.500
Tc1 Tc 0.000 0.000 0.500
```

Record 8
Computed, not measured: a relaxed structure of Rb3Pu3NbSe8 at the PBE level of DFT.

Electronic total energy   -103.253 eV per formula unit
ΔE_f (raw)   -1873 kJ/mol of formula units

Cell and atoms, written as CIF:
```
data_Rb3Pu3NbSe8
_cell_length_a 8.2715
_cell_length_b 8.2715
_cell_length_c 24.5304
_cell_angle_alpha 90.00
_cell_angle_beta 90.00
_cell_angle_gamma 120.00
_space_group_name_H-M_alt 'R -3 m'
_space_group_IT_number 166
_space_group_name_Hall '-R 3 2"'
loop_
_atom_site_label
_atom_site_type_symbol
_atom_site_fract_x
_atom_site_fract_y
_atom_site_fract_z
Rb1 Rb 0.0000 0.5000 0.0000
Pu1 Pu 0.0000 0.5000 0.5000
Nb1 Nb 0.0000 0.0000 0.5000
Se1 Se 0.0000 0.0000 0.2327
Se2 Se 0.0213 0.5107 0.2286
```

Record 9
Computed, not measured: a relaxed structure of Ba2MgBr at the PBE level of DFT.

Electronic total energy   -9.288 eV per formula unit
ΔE_f (raw)   -210 kJ/mol of formula units

Cell and atoms, written as CIF:
```
data_Ba2MgBr
_cell_length_a 8.755
_cell_length_b 8.755
_cell_length_c 8.755
_cell_angle_alpha 90.00
_cell_angle_beta 90.00
_cell_angle_gamma 90.00
_space_group_name_H-M_alt 'F m -3 m'
_space_group_IT_number 225
_space_group_name_Hall '-F 4 2 3'
loop_
_atom_site_label
_atom_site_type_symbol
_atom_site_fract_x
_atom_site_fract_y
_atom_site_fract_z
Ba1 Ba 0.250 0.250 0.250
Mg1 Mg 0.000 0.000 0.000
Br1 Br 0.000 0.000 0.500
```

Record 10
Computed, not measured: a relaxed structure of AlMoPb at the PBE level of DFT.

Electronic total energy   -16.971 eV per formula unit
Energy relative to the elements   1.31 eV per formula unit

Cell and atoms, written as CIF:
```
data_AlMoPb
_cell_length_a 3.1525
_cell_length_b 3.1525
_cell_length_c 6.9536
_cell_angle_alpha 90.00
_cell_angle_beta 90.00
_cell_angle_gamma 120.00
_space_group_name_H-M_alt 'P 3 m 1'
_space_group_IT_number 156
_space_group_name_Hall 'P 3 -2"'
loop_
_atom_site_label
_atom_site_type_symbol
_atom_site_fract_x
_atom_site_fract_y
_atom_site_fract_z
Al1 Al 0.0000 0.0000 0.0000
Mo1 Mo 0.6667 0.3333 0.2786
Pb1 Pb 0.3333 0.6667 0.6172
```

Record 11
Computed, not measured: a relaxed structure of NbTe2SN at the PBE level of DFT.

Electronic total energy   -24.298 eV per formula unit
ΔE_f (raw)   435 kJ/mol of formula units

Cell and atoms, written as CIF:
```
data_NbTe2SN
_cell_length_a 5.423
_cell_length_b 5.423
_cell_length_c 3.352
_cell_angle_alpha 90.00
_cell_angle_beta 90.00
_cell_angle_gamma 90.00
_space_group_name_H-M_alt 'P 4/m m m'
_space_group_IT_number 123
_space_group_name_Hall '-P 4 2'
loop_
_atom_site_label
_atom_site_type_symbol
_atom_site_fract_x
_atom_site_fract_y
_atom_site_fract_z
Nb1 Nb 0.000 0.000 0.000
Te1 Te 0.000 0.500 0.500
S1 S 0.500 0.500 0.500
N1 N 0.500 0.500 0.000
```

Record 12
Computed, not measured: a relaxed structure of TaAgAs2 at the PBE level of DFT.

Electronic total energy   -23.383 eV per formula unit
Energy relative to the elements   0.62 eV per formula unit

Cell and atoms, written as CIF:
```
data_TaAgAs2
_cell_length_a 2.851
_cell_length_b 2.851
_cell_length_c 9.930
_cell_angle_alpha 90.00
_cell_angle_beta 90.00
_cell_angle_gamma 90.00
_space_group_name_H-M_alt 'P 4 m m'
_space_group_IT_number 99
_space_group_name_Hall 'P 4 -2'
loop_
_atom_site_label
_atom_site_type_symbol
_atom_site_fract_x
_atom_site_fract_y
_atom_site_fract_z
Ta1 Ta 0.000 0.000 0.000
Ag1 Ag 0.500 0.500 0.220
As1 As 0.000 0.000 0.437
As2 As 0.500 0.500 0.797
```

Record 13
Computed, not measured: a relaxed structure of ReSiB2I at the PBE level of DFT.

Electronic total energy   -27.355 eV per formula unit
ΔE_f (raw)   523 kJ/mol of formula units

Cell and atoms, written as CIF:
```
data_ReSiB2I
_cell_length_a 4.209
_cell_length_b 4.209
_cell_length_c 5.096
_cell_angle_alpha 90.00
_cell_angle_beta 90.00
_cell_angle_gamma 90.00
_space_group_name_H-M_alt 'P 4/m m m'
_space_group_IT_number 123
_space_group_name_Hall '-P 4 2'
loop_
_atom_site_label
_atom_site_type_symbol
_atom_site_fract_x
_atom_site_fract_y
_atom_site_fract_z
Re1 Re 0.000 0.000 0.000
Si1 Si 0.000 0.000 0.500
B1 B 0.000 0.500 0.000
I1 I 0.500 0.500 0.500
```

Record 14
Computed, not measured: a relaxed structure of PmHoGaHg at the PBE level of DFT.

Electronic total energy   -14.666 eV per formula unit
Energy relative to the elements   -2.01 eV per formula unit

Cell and atoms, written as CIF:
```
data_PmHoGaHg
_cell_length_a 7.407
_cell_length_b 7.407
_cell_length_c 7.407
_cell_angle_alpha 90.00
_cell_angle_beta 90.00
_cell_angle_gamma 90.00
_space_group_name_H-M_alt 'F -4 3 m'
_space_group_IT_number 216
_space_group_name_Hall 'F -4 2 3'
loop_
_atom_site_label
_atom_site_type_symbol
_atom_site_fract_x
_atom_site_fract_y
_atom_site_fract_z
Pm1 Pm 0.000 0.000 0.000
Ho1 Ho 0.000 0.000 0.500
Ga1 Ga 0.250 0.250 0.750
Hg1 Hg 0.250 0.250 0.250
```

Record 15
Computed, not measured: a relaxed structure of La8DyEr2 at the PBE level of DFT.

Electronic total energy   -51.758 eV per formula unit
Energy relative to the elements   1.39 eV per formula unit

Cell and atoms, written as CIF:
```
data_La8DyEr2
_cell_length_a 9.251
_cell_length_b 16.807
_cell_length_c 6.070
_cell_angle_alpha 90.00
_cell_angle_beta 123.89
_cell_angle_gamma 90.00
_space_group_name_H-M_alt 'C 1 2/m 1'
_space_group_IT_number 12
_space_group_name_Hall '-C 2y'
loop_
_atom_site_label
_atom_site_type_symbol
_atom_site_fract_x
_atom_site_fract_y
_atom_site_fract_z
La1 La 0.000 0.206 0.000
La2 La 0.080 0.500 0.798
La3 La 0.215 0.119 0.684
Dy1 Dy 0.000 0.000 0.000
Er1 Er 0.000 0.311 0.500
```

Record 16
Computed, not measured: a relaxed structure of BeRe2Mo at the PBE level of DFT.

Electronic total energy   -38.723 eV per formula unit
Energy relative to the elements   0.73 eV per formula unit

Cell and atoms, written as CIF:
```
data_BeRe2Mo
_cell_length_a 5.359
_cell_length_b 8.591
_cell_length_c 2.689
_cell_angle_alpha 90.00
_cell_angle_beta 113.72
_cell_angle_gamma 90.00
_space_group_name_H-M_alt 'C 1 2/m 1'
_space_group_IT_number 12
_space_group_name_Hall '-C 2y'
loop_
_atom_site_label
_atom_site_type_symbol
_atom_site_fract_x
_atom_site_fract_y
_atom_site_fract_z
Be1 Be 0.000 0.000 0.000
Re1 Re 0.250 0.250 0.500
Mo1 Mo 0.000 0.500 0.000
```

Record 17
Computed, not measured: a relaxed structure of KLiCrN2 at the PBE level of DFT.

Electronic total energy   -31.642 eV per formula unit
ΔE_f (raw)   -227 kJ/mol of formula units

Cell and atoms, written as CIF:
```
data_KLiCrN2
_cell_length_a 11.108
_cell_length_b 3.288
_cell_length_c 7.586
_cell_angle_alpha 90.00
_cell_angle_beta 101.28
_cell_angle_gamma 90.00
_space_group_name_H-M_alt 'C 1 2/m 1'
_space_group_IT_number 12
_space_group_name_Hall '-C 2y'
loop_
_atom_site_label
_atom_site_type_symbol
_atom_site_fract_x
_atom_site_fract_y
_atom_site_fract_z
K1 K 0.147 0.000 0.139
Li1 Li 0.193 0.000 0.555
Cr1 Cr 0.050 0.500 0.653
N1 N 0.097 0.000 0.759
N2 N 0.115 0.500 0.438
```

Record 18
Computed, not measured: a relaxed structure of AlGa3N4 at the PBE level of DFT.

Electronic total energy   -51.798 eV per formula unit
ΔE_f (raw)   -547 kJ/mol of formula units

Cell and atoms, written as CIF:
```
data_AlGa3N4
_cell_length_a 5.190
_cell_length_b 3.193
_cell_length_c 5.528
_cell_angle_alpha 90.00
_cell_angle_beta 90.04
_cell_angle_gamma 90.00
_space_group_name_H-M_alt 'P 1 m 1'
_space_group_IT_number 6
_space_group_name_Hall 'P -2y'
loop_
_atom_site_label
_atom_site_type_symbol
_atom_site_fract_x
_atom_site_fract_y
_atom_site_fract_z
Al1 Al 0.000 0.000 0.000
Ga1 Ga 0.499 0.000 0.668
Ga2 Ga 0.499 0.500 0.164
Ga3 Ga 0.999 0.500 0.499
N1 N 0.117 0.500 0.158
N2 N 0.119 0.000 0.674
N3 N 0.620 0.500 0.499
N4 N 0.632 0.000 0.000
```

Record 19
Computed, not measured: a relaxed structure of Re3Cl at the PBE level of DFT.

Electronic total energy   -36.000 eV per formula unit
ΔE_f (raw)   308 kJ/mol of formula units

Cell and atoms, written as CIF:
```
data_Re3Cl
_cell_length_a 9.967
_cell_length_b 2.885
_cell_length_c 4.325
_cell_angle_alpha 90.00
_cell_angle_beta 91.15
_cell_angle_gamma 90.00
_space_group_name_H-M_alt 'C 1 2/m 1'
_space_group_IT_number 12
_space_group_name_Hall '-C 2y'
loop_
_atom_site_label
_atom_site_type_symbol
_atom_site_fract_x
_atom_site_fract_y
_atom_site_fract_z
Re1 Re 0.000 0.000 0.000
Re2 Re 0.213 0.500 0.228
Cl1 Cl 0.000 0.500 0.500
```

Record 20
Computed, not measured: a relaxed structure of V2H3 at the PBE level of DFT.

Electronic total energy   -29.026 eV per formula unit

Cell and atoms, written as CIF:
```
data_V2H3
_cell_length_a 4.6550
_cell_length_b 4.6550
_cell_length_c 10.9960
_cell_angle_alpha 90.00
_cell_angle_beta 90.00
_cell_angle_gamma 120.00
_space_group_name_H-M_alt 'R -3 c'
_space_group_IT_number 167
_space_group_name_Hall '-R 3 2"c'
loop_
_atom_site_label
_atom_site_type_symbol
_atom_site_fract_x
_atom_site_fract_y
_atom_site_fract_z
V1 V 0.0000 0.0000 0.1287
H1 H 0.0000 0.2664 0.2500
```